KGdAsO: optimized geometry, PBE.

Summary:
offset from the most stable computed form	578	meV per atom
theoretical density	5317	kg/m³
total DFT energy (no corrections)	-4.8299	eV per atom
SG	P4/nmm

Unit cell a=5.8586 b=5.8586 c=5.2281 alpha=90.00 beta=90.00 gamma=90.00
Atoms (fractional coordinates):
K  0.2500  0.2500  0.0013
K  0.7500  0.7500  0.9987
Gd  0.2500  0.7500  0.5000
Gd  0.7500  0.2500  0.5000
As  0.2500  0.2500  0.5012
As  0.7500  0.7500  0.4988
O  0.2500  0.7500  0.0000
O  0.7500  0.2500  0.0000